1.
A geometry-optimized Pr4TlPd structure. Source: Alexandria, functional PBE.

The value obtained for the offset from the most stable computed form is 0.000 eV per atom.

Cell and atoms, written as CIF:
```
data_Pr4TlPd
_chemical_formula_sum 'Pr8 Tl2 Pd2'
_space_group_name_H-M_alt 'P 1'
_space_group_IT_number 1
_cell_length_a 6.065
_cell_length_b 7.266
_cell_length_c 8.825
_cell_angle_alpha 90.00
_cell_angle_beta 105.08
_cell_angle_gamma 90.00
loop_
_space_group_symop_operation_xyz
'x,y,z'
loop_
_atom_site_label
_atom_site_fract_x
_atom_site_fract_y
_atom_site_fract_z
Pr1 0.145 0.250 0.062
Pr2 0.241 0.750 0.376
Pr3 0.313 0.507 0.767
Pr4 0.313 0.993 0.767
Pr5 0.687 0.007 0.233
Pr6 0.687 0.493 0.233
Pr7 0.759 0.250 0.624
Pr8 0.855 0.750 0.938
Tl1 0.204 0.250 0.433
Tl2 0.796 0.750 0.567
Pd1 0.339 0.750 0.054
Pd2 0.661 0.250 0.946
```

=====

2.
A geometry-optimized Pr12TlPd6 structure. Source: Alexandria, functional PBE.

The value obtained for the offset from the most stable computed form is 0.000 eV per atom.

Cell and atoms, written as CIF:
```
data_Pr12TlPd6
_chemical_formula_sum 'Pr12 Tl1 Pd6'
_space_group_name_H-M_alt 'P 1'
_space_group_IT_number 1
_cell_length_a 9.016
_cell_length_b 9.016
_cell_length_c 9.016
_cell_angle_alpha 109.47
_cell_angle_beta 109.47
_cell_angle_gamma 109.47
loop_
_space_group_symop_operation_xyz
'x,y,z'
loop_
_atom_site_label
_atom_site_fract_x
_atom_site_fract_y
_atom_site_fract_z
Pr1 0.117 0.301 0.816
Pr2 0.184 0.484 0.301
Pr3 0.184 0.883 0.699
Pr4 0.301 0.184 0.484
Pr5 0.301 0.816 0.117
Pr6 0.484 0.301 0.184
Pr7 0.516 0.699 0.816
Pr8 0.699 0.184 0.883
Pr9 0.699 0.816 0.516
Pr10 0.816 0.117 0.301
Pr11 0.816 0.516 0.699
Pr12 0.883 0.699 0.184
Tl1 0.000 0.000 0.000
Pd1 0.132 0.500 0.632
Pd2 0.368 0.868 0.500
Pd3 0.500 0.368 0.868
Pd4 0.500 0.632 0.132
Pd5 0.632 0.132 0.500
Pd6 0.868 0.500 0.368
```

=====

3.
A geometry-optimized PrTl2Pd7 structure. Source: Alexandria, functional PBE.

Cell and atoms, written as CIF:
```
data_PrTl2Pd7
_chemical_formula_sum 'Pr1 Tl2 Pd7'
_space_group_name_H-M_alt 'P 1'
_space_group_IT_number 1
_cell_length_a 8.042
_cell_length_b 8.042
_cell_length_c 4.468
_cell_angle_alpha 90.00
_cell_angle_beta 90.00
_cell_angle_gamma 125.84
loop_
_space_group_symop_operation_xyz
'x,y,z'
loop_
_atom_site_label
_atom_site_fract_x
_atom_site_fract_y
_atom_site_fract_z
Pr1 0.000 0.000 0.000
Tl1 0.301 0.699 0.500
Tl2 0.699 0.301 0.500
Pd1 0.079 0.287 0.500
Pd2 0.193 0.807 0.000
Pd3 0.287 0.079 0.500
Pd4 0.500 0.500 0.500
Pd5 0.713 0.921 0.500
Pd6 0.807 0.193 0.000
Pd7 0.921 0.713 0.500
```

=====

4.
A geometry-optimized PrTl2Pd structure. Source: Alexandria, functional PBE.

Cell and atoms, written as CIF:
```
data_PrTl2Pd
_chemical_formula_sum 'Pr2 Tl4 Pd2'
_space_group_name_H-M_alt 'P 1'
_space_group_IT_number 1
_cell_length_a 9.107
_cell_length_b 9.107
_cell_length_c 9.107
_cell_angle_alpha 148.71
_cell_angle_beta 148.71
_cell_angle_gamma 44.84
loop_
_space_group_symop_operation_xyz
'x,y,z'
loop_
_atom_site_label
_atom_site_fract_x
_atom_site_fract_y
_atom_site_fract_z
Pr1 0.140 0.140 0.000
Pr2 0.860 0.860 0.000
Tl1 0.000 0.500 0.500
Tl2 0.347 0.347 0.000
Tl3 0.500 0.000 0.500
Tl4 0.653 0.653 0.000
Pd1 0.250 0.750 0.500
Pd2 0.750 0.250 0.500
```

=====

5.
A geometry-optimized PrTlPd6 structure. Source: Alexandria, functional PBE.

Cell and atoms, written as CIF:
```
data_PrTlPd6
_chemical_formula_sum 'Pr1 Tl1 Pd6'
_space_group_name_H-M_alt 'P 1'
_space_group_IT_number 1
_cell_length_a 5.556
_cell_length_b 5.556
_cell_length_c 5.556
_cell_angle_alpha 85.09
_cell_angle_beta 85.09
_cell_angle_gamma 85.09
loop_
_space_group_symop_operation_xyz
'x,y,z'
loop_
_atom_site_label
_atom_site_fract_x
_atom_site_fract_y
_atom_site_fract_z
Pr1 0.000 0.000 0.000
Tl1 0.500 0.500 0.500
Pd1 0.162 0.162 0.528
Pd2 0.162 0.528 0.162
Pd3 0.472 0.838 0.838
Pd4 0.528 0.162 0.162
Pd5 0.838 0.472 0.838
Pd6 0.838 0.838 0.472
```

=====

6.
A geometry-optimized PrTlPd structure. Source: Alexandria, functional PBE.

The value obtained for the offset from the most stable computed form is 0.117 eV per atom.

Cell and atoms, written as CIF:
```
data_PrTlPd
_chemical_formula_sum 'Pr1 Tl1 Pd1'
_space_group_name_H-M_alt 'P 1'
_space_group_IT_number 1
_cell_length_a 4.877
_cell_length_b 4.877
_cell_length_c 4.877
_cell_angle_alpha 60.00
_cell_angle_beta 60.00
_cell_angle_gamma 60.00
loop_
_space_group_symop_operation_xyz
'x,y,z'
loop_
_atom_site_label
_atom_site_fract_x
_atom_site_fract_y
_atom_site_fract_z
Pr1 0.000 0.000 0.000
Tl1 0.500 0.500 0.500
Pd1 0.750 0.750 0.750
```

=====

7.
A geometry-optimized Pr2Tl3Pd5 structure. Source: Alexandria, functional PBE.

Cell and atoms, written as CIF:
```
data_Pr2Tl3Pd5
_chemical_formula_sum 'Pr4 Tl6 Pd10'
_space_group_name_H-M_alt 'P 1'
_space_group_IT_number 1
_cell_length_a 9.203
_cell_length_b 9.203
_cell_length_c 9.203
_cell_angle_alpha 101.26
_cell_angle_beta 90.88
_cell_angle_gamma 142.14
loop_
_space_group_symop_operation_xyz
'x,y,z'
loop_
_atom_site_label
_atom_site_fract_x
_atom_site_fract_y
_atom_site_fract_z
Pr1 0.243 0.121 0.364
Pr2 0.257 0.621 0.878
Pr3 0.743 0.379 0.122
Pr4 0.757 0.879 0.636
Tl1 0.132 0.372 0.504
Tl2 0.250 0.250 0.000
Tl3 0.368 0.872 0.240
Tl4 0.632 0.128 0.760
Tl5 0.750 0.750 0.000
Tl6 0.868 0.628 0.496
Pd1 0.157 0.871 0.028
Pd2 0.250 0.011 0.761
Pd3 0.250 0.489 0.239
Pd4 0.250 0.750 0.500
Pd5 0.343 0.371 0.713
Pd6 0.657 0.629 0.287
Pd7 0.750 0.250 0.500
Pd8 0.750 0.511 0.761
Pd9 0.750 0.989 0.239
Pd10 0.843 0.129 0.972
```

=====

8.
A geometry-optimized Pr2TlPd6 structure. Source: Alexandria, functional PBE.

Cell and atoms, written as CIF:
```
data_Pr2TlPd6
_chemical_formula_sum 'Pr2 Tl1 Pd6'
_space_group_name_H-M_alt 'P 1'
_space_group_IT_number 1
_cell_length_a 5.849
_cell_length_b 5.849
_cell_length_c 6.254
_cell_angle_alpha 90.00
_cell_angle_beta 90.00
_cell_angle_gamma 120.00
loop_
_space_group_symop_operation_xyz
'x,y,z'
loop_
_atom_site_label
_atom_site_fract_x
_atom_site_fract_y
_atom_site_fract_z
Pr1 0.333 0.667 0.205
Pr2 0.667 0.333 0.795
Tl1 0.000 0.000 0.000
Pd1 0.176 0.351 0.672
Pd2 0.176 0.824 0.672
Pd3 0.351 0.176 0.328
Pd4 0.649 0.824 0.672
Pd5 0.824 0.176 0.328
Pd6 0.824 0.649 0.328
```

=====

Number 1: energy relative to the elements -0.35 eV per atom, M_tot 0.000 μB per cell. Number 2: energy relative to the elements -0.51 eV per atom, M_tot 0.000 μB per cell. Number 3: energy relative to the elements -0.02 eV per atom, M_tot 0.000 μB per cell. Number 4: energy relative to the elements -0.44 eV per atom, M_tot 0.000 μB per cell. Number 5: energy relative to the elements -0.04 eV per atom, M_tot 0.000 μB per cell. Number 6: energy relative to the elements -0.50 eV per atom, M_tot 0.000 μB per cell. Number 7: energy relative to the elements -0.40 eV per atom, M_tot 0.000 μB per cell. Number 8: energy relative to the elements -0.60 eV per atom, M_tot 0.000 μB per cell.